Entry from Alexandria via LeMat-Bulk: a PBEsol-optimized structure of CeBi3 (SCAN).

abc: 4.607 4.607 10.901
angles: 90.00 90.00 90.00
Space group I4/mmm (No. 139)
Unique sites:
Ce  0.000  0.000  0.000 (multiplicity 2)
Bi  0.000  0.000  0.500 (multiplicity 2)
Bi  0.000  0.500  0.250 (multiplicity 4)

Summary:
Total moment: 1.63 μB per cell
E_tot: -564.6 eV/cell
Volume: 116 Å³/f.u.
Energy of formation from the pure elements: -11.50 kcal/mol of atoms